[1]
First-principles (PBE-GGA) data for an optimized crystal structure of K2Bi, as listed in Alexandria via LeMat-Bulk.

For the energy of formation from the pure elements, the calculation gives -0.22 eV per atom. As for the crystal system: monoclinic. The symmetry is C2/m.

Cell lengths 4.567, 7.487, 10.194 Å; angles 66.36, 77.06, 72.24 degrees
Fractional coordinates of all 6 atoms:
Bi  0.808  0.337  0.047
Bi  0.192  0.663  0.953
K  0.496  0.814  0.195
K  0.823  0.705  0.649
K  0.177  0.295  0.351
K  0.504  0.186  0.805

[2]
First-principles (PBE-GGA) data for an optimized crystal structure of Cs2SnTeO6, as listed in Alexandria via LeMat-Bulk.

As for the crystal system: trigonal. The energy relative to the elements, uncorrected is -1.31 eV/atom. The symmetry is R-3m.

Cell lengths 6.216, 6.216, 10.487 Å; angles 72.76, 72.76, 60.00 degrees
Fractional coordinates of all 20 atoms:
O  0.731  0.192  0.884
O  0.596  0.178  0.630
O  0.808  0.269  0.116
O  0.192  0.731  0.884
O  0.808  0.808  0.116
O  0.404  0.404  0.370
O  0.192  0.192  0.884
O  0.822  0.404  0.370
O  0.269  0.808  0.116
O  0.404  0.822  0.370
O  0.178  0.596  0.630
O  0.596  0.596  0.630
Cs  0.279  0.279  0.163
Cs  0.132  0.132  0.605
Cs  0.868  0.868  0.395
Cs  0.721  0.721  0.837
Te  0.500  0.500  0.500
Te  0.000  0.000  0.000
Sn  0.403  0.403  0.791
Sn  0.597  0.597  0.209